This record from Alexandria via LeMat-Bulk describes MnNbTl2F after structural relaxation. The functional is PBE with a Hubbard U.

The electronic total energy comes out at -3.88 eV/atom.

extended XYZ file:
```
5
Lattice="5.665 0.000 0.000 0.000 4.935 0.000 0.000 0.000 5.665" Properties=species:S:1:pos:R:3 pbc="T T T"
Nb 0.000 0.000 0.000
Mn 0.000 2.468 0.000
Tl 2.833 0.000 0.000
Tl 0.000 0.000 2.833
F 2.833 2.468 2.833
```